Entry 1:
DFT (GGA-PBE) results for crystalline Pr3WN4 at its relaxed geometry.

## Properties
As for the final energy: -8.549 eV/atom. For the total moment, the calculation gives 0.00 μB/cell. As for the calculated volume: 18.6 Å³ per atom. For the calculated density, the calculation gives 7.41 g/cm3.

Unit cell a=5.3733 b=7.0287 c=7.8641 alpha=90.00 beta=90.00 gamma=90.00
Fractional coordinates of all 16 atoms:
1 N 0.0533 0.8950 0.0000
2 N 0.6460 0.1741 0.0000
3 N 0.5647 0.7026 0.7121
4 N 0.5647 0.7026 0.2879
5 N 0.0647 0.2974 0.7879
6 N 0.5533 0.1050 0.5000
7 N 0.0647 0.2974 0.2121
8 N 0.1460 0.8259 0.5000
9 Pr 0.5651 0.3439 0.7422
10 Pr 0.5570 0.8474 0.0000
11 Pr 0.0570 0.1526 0.5000
12 Pr 0.5651 0.3439 0.2578
13 Pr 0.0651 0.6561 0.7578
14 Pr 0.0651 0.6561 0.2422
15 W 0.4994 0.8292 0.5000
16 W 0.9994 0.1708 0.0000

Entry 2:
DFT (GGA-PBE) results for crystalline Y2TiGa2 at its relaxed geometry.

## Properties
The value obtained for the formation enthalpy at 0 K is -0.433 eV/atom. As for the final energy: -5.808 eV/atom. For the total moment, the calculation gives 0.00 μB/cell. As for the calculated volume: 22.6 Å³ per atom. For the calculated density, the calculation gives 5.38 g/cm3.

Unit cell a=7.2128 b=7.2128 c=4.3359 alpha=90.00 beta=90.00 gamma=90.00
Fractional coordinates of all 10 atoms:
1 Ti 0.5000 0.5000 0.0000
2 Ti 0.0000 0.0000 0.0000
3 Y 0.3240 0.1760 0.5000
4 Y 0.8240 0.3240 0.5000
5 Y 0.6760 0.8240 0.5000
6 Y 0.1760 0.6760 0.5000
7 Ga 0.1288 0.3712 0.0000
8 Ga 0.3712 0.8712 0.0000
9 Ga 0.6288 0.1288 0.0000
10 Ga 0.8712 0.6288 0.0000

Entry 3:
DFT (GGA-PBE) results for crystalline LaCePr2Dy5 at its relaxed geometry.

## Properties
The value obtained for the formation enthalpy at 0 K is 0.260 eV/atom. As for the final energy: -4.565 eV/atom. For the total moment, the calculation gives 2.25 μB/cell. As for the calculated volume: 33.3 Å³ per atom. For the calculated density, the calculation gives 7.61 g/cm3.

Unit cell a=8.7146 b=8.7146 c=10.0087 alpha=115.81 beta=115.81 gamma=90.00
Each line ends with the local moment (μB).
Fractional coordinates of all 18 atoms:
1 Dy 0.8426 0.9351 0.2777  0.06
2 Dy 0.4351 0.3426 0.2777  0.06
3 Dy 0.0649 0.5649 0.7223  0.06
4 Dy 0.3426 0.8426 0.2777  0.06
5 Dy 0.5000 0.5000 0.0000  -0.03
6 Dy 0.0000 0.0000 0.0000  -0.03
7 Dy 0.9351 0.4351 0.2777  0.06
8 Dy 0.6574 0.1574 0.7223  0.06
9 Dy 0.5649 0.6574 0.7223  0.06
10 Dy 0.1574 0.0649 0.7223  0.06
11 Pr 0.8793 0.6207 0.0000  -0.02
12 Pr 0.1207 0.3793 0.0000  -0.02
13 Pr 0.6207 0.1207 0.0000  -0.02
14 Pr 0.3793 0.8793 0.0000  -0.02
15 La 0.2500 0.2500 0.5000  0.01
16 La 0.7500 0.7500 0.5000  0.01
17 Ce 0.7500 0.2500 0.5000  0.80
18 Ce 0.2500 0.7500 0.5000  0.80

Entry 4:
DFT (GGA-PBE) results for crystalline SrSm2DyS4 at its relaxed geometry.

## Properties
As for the final energy: -6.036 eV/atom. For the total moment, the calculation gives 0.00 μB/cell. As for the calculated volume: 23.3 Å³ per atom. For the calculated density, the calculation gives 6.06 g/cm3.

Unit cell a=4.0133 b=7.0104 c=6.9969 alpha=70.93 beta=90.00 gamma=90.00
Fractional coordinates of all 8 atoms:
1 Dy 0.0000 0.5000 0.5000
2 S 0.0000 0.2464 0.2608
3 S 0.5000 0.2540 0.7403
4 S 0.5000 0.7460 0.2597
5 S 0.0000 0.7536 0.7392
6 Sr 0.5000 0.5000 0.0000
7 Sm 0.0000 0.0000 0.0000
8 Sm 0.5000 0.0000 0.5000

Entry 5:
DFT (GGA-PBE) results for crystalline Li2ZnSe at its relaxed geometry.

## Properties
As for the final energy: -2.721 eV/atom. Its excess energy over the best structure of this formula in the dataset is 0.08 eV/f.u. For the total moment, the calculation gives 0.00 μB/cell. As for the calculated volume: 17.7 Å³ per atom. For the calculated density, the calculation gives 3.72 g/cm3.

Unit cell a=4.6394 b=4.6394 c=4.6394 alpha=60.00 beta=60.00 gamma=60.00
Fractional coordinates of all 4 atoms:
1 Se 0.5000 0.5000 0.5000
2 Li 0.7500 0.7500 0.7500
3 Li 0.2500 0.2500 0.2500
4 Zn 0.0000 0.0000 0.0000

Entry 6:
DFT (GGA-PBE) results for crystalline Hf2PaSn at its relaxed geometry.

## Properties
The value obtained for the formation enthalpy at 0 K is -0.012 eV/atom. As for the final energy: -8.363 eV/atom. Its excess energy over the best structure of this formula in the dataset is 0.69 eV/f.u. For the total moment, the calculation gives 0.00 μB/cell. As for the calculated volume: 23.7 Å³ per atom. For the calculated density, the calculation gives 12.37 g/cm3.

Unit cell a=3.2740 b=3.2740 c=10.3958 alpha=80.94 beta=80.94 gamma=60.00
Fractional coordinates of all 4 atoms:
1 Sn 0.5000 0.5000 0.5000
2 Hf 0.7523 0.7523 0.7431
3 Hf 0.2477 0.2477 0.2569
4 Pa 0.0000 0.0000 0.0000

Entry 7:
DFT (GGA-PBE) results for crystalline AsIrBr2N at its relaxed geometry.

## Properties
As for the final energy: -3.435 eV/atom. Its excess energy over the best structure of this formula in the dataset is 0.76 eV/f.u. For the total moment, the calculation gives 0.03 μB/cell. As for the calculated volume: 17.4 Å³ per atom. For the calculated density, the calculation gives 8.40 g/cm3.

Unit cell a=4.3762 b=4.3762 c=4.5541 alpha=90.00 beta=90.00 gamma=90.00
Fractional coordinates of all 5 atoms:
1 As 0.0000 0.0000 0.5000
2 Br 0.5000 0.0000 0.0000
3 Br 0.0000 0.5000 0.0000
4 Ir 0.5000 0.5000 0.5000
5 N 0.0000 0.0000 0.0000

Entry 8:
DFT (GGA-PBE) results for crystalline CaMgTcH2 at its relaxed geometry.

## Properties
As for the final energy: -4.149 eV/atom. Its excess energy over the best structure of this formula in the dataset is 0.57 eV/f.u. For the total moment, the calculation gives 0.21 μB/cell. As for the calculated volume: 15.4 Å³ per atom. For the calculated density, the calculation gives 3.54 g/cm3.

Unit cell a=4.7938 b=2.9897 c=5.3786 alpha=90.00 beta=92.02 gamma=90.00
Each line ends with the local moment (μB).
Fractional coordinates of all 5 atoms:
1 Mg 0.5000 0.0000 0.5000  0.00
2 H 0.7502 0.5000 0.2441  0.00
3 H 0.2498 0.5000 0.7559  0.00
4 Tc 0.0000 0.5000 0.5000  0.20
5 Ca 0.0000 0.0000 0.0000  0.00

- What is the formula in the eighth record?
  CaMgTcH2

- Number 7 is which compound?
  AsIrBr2N

- final energy of number 5 (Li2ZnSe)?
  -2.721 eV/atom

- The highest calculated volume belongs to which entry?
  LaCePr2Dy5